[1]
# ZrZn2Ni | the Alexandria database | PBE | relaxed
data_ZrZn2Ni
_symmetry_space_group_name_H-M 'I m m m'
_symmetry_Int_Tables_number 71
_symmetry_space_group_name_Hall '-I 2 2'
_cell_length_a 2.866
_cell_length_b 4.605
_cell_length_c 9.557
_cell_angle_alpha 90.00
_cell_angle_beta 90.00
_cell_angle_gamma 90.00
loop_
_atom_site_label
_atom_site_fract_x
_atom_site_fract_y
_atom_site_fract_z
_atom_site_occupancy
Zr1 0.000 0.000 0.000 1
Zn1 0.000 0.500 0.219 1
Ni1 0.000 0.000 0.500 1
# calculated formation energy: -0.63 eV per formula unit
# E: -35.01 eV/cell



[2]
# Zr2Zn6Ni | the Alexandria database | PBE | relaxed
data_Zr2Zn6Ni
_symmetry_space_group_name_H-M 'C 1 2/m 1'
_symmetry_Int_Tables_number 12
_cell_length_a 9.519
_cell_length_b 5.496
_cell_length_c 5.489
_cell_angle_alpha 90.00
_cell_angle_beta 90.01
_cell_angle_gamma 90.00
loop_
_symmetry_equiv_pos_as_xyz
'x,y,z'
'-x,-y,-z'
'-x,y,-z'
'x,-y,z'
'x+1/2,y+1/2,z'
'-x+1/2,-y+1/2,-z'
'-x+1/2,y+1/2,-z'
'x+1/2,-y+1/2,z'
loop_
_atom_site_label
_atom_site_fract_x
_atom_site_fract_y
_atom_site_fract_z
_atom_site_occupancy
Zr1 0.166 0.000 0.354 1
Zn1 0.088 0.237 0.821 1
Zn2 0.176 0.500 0.181 1
Ni1 0.000 0.500 0.500 1
# calculated formation energy: -2.13 eV per formula unit
# E: -65.30 eV/cell



[3]
# Zr2ZnNi | the Alexandria database | PBE | relaxed
data_Zr2ZnNi
_symmetry_space_group_name_H-M 'P 4 m m'
_symmetry_Int_Tables_number 99
_cell_length_a 3.235
_cell_length_b 3.235
_cell_length_c 6.793
_cell_angle_alpha 90.00
_cell_angle_beta 90.00
_cell_angle_gamma 90.00
loop_
_symmetry_equiv_pos_as_xyz
'x,y,z'
'-y,x,z'
'-x,-y,z'
'y,-x,z'
'-x,y,z'
'y,x,z'
'x,-y,z'
'-y,-x,z'
loop_
_atom_site_label
_atom_site_fract_x
_atom_site_fract_y
_atom_site_fract_z
_atom_site_occupancy
Zr1 0.000 0.000 0.000 1
Zr2 0.500 0.500 0.315 1
Zn1 0.500 0.500 0.732 1
Ni1 0.000 0.000 0.543 1
# calculated formation energy: -1.00 eV per formula unit
# E: -25.15 eV/cell



[4]
# ZrZnNi2 | the Alexandria database | PBE | relaxed
data_ZrZnNi2
_symmetry_space_group_name_H-M 'R 3 m'
_symmetry_Int_Tables_number 160
_symmetry_space_group_name_Hall 'R 3 -2"'
_cell_length_a 2.8244
_cell_length_b 2.8244
_cell_length_c 25.7792
_cell_angle_alpha 90.00
_cell_angle_beta 90.00
_cell_angle_gamma 120.00
loop_
_atom_site_label
_atom_site_fract_x
_atom_site_fract_y
_atom_site_fract_z
_atom_site_occupancy
Zr1 0.0000 0.0000 0.0000 1
Zn1 0.0000 0.0000 0.2349 1
Ni1 0.0000 0.0000 0.4941 1
Ni2 0.0000 0.0000 0.7533 1
# calculated formation energy: 0.38 eV per formula unit
# E: -63.00 eV/cell



[5]
# Zr2Zn16Ni | the Alexandria database | PBE | relaxed
data_Zr2Zn16Ni
_symmetry_space_group_name_H-M 'R 3 m'
_symmetry_Int_Tables_number 160
_symmetry_space_group_name_Hall 'R 3 -2"'
_cell_length_a 8.7667
_cell_length_b 8.7667
_cell_length_c 12.9365
_cell_angle_alpha 90.00
_cell_angle_beta 90.00
_cell_angle_gamma 120.00
loop_
_atom_site_label
_atom_site_fract_x
_atom_site_fract_y
_atom_site_fract_z
_atom_site_occupancy
Zr1 0.0000 0.0000 0.0000 1
Zr2 0.0000 0.0000 0.3404 1
Zn1 0.0000 0.0000 0.5762 1
Zn2 0.0003 0.2954 0.6750 1
Zn3 0.0159 0.5079 0.8227 1
Zn4 0.1688 0.3375 0.8587 1
Zn5 0.1700 0.3401 0.5072 1
Ni1 0.0000 0.0000 0.7776 1
# calculated formation energy: -2.84 eV per formula unit
# E: -138.29 eV/cell



[6]
# ZrZn2Ni | the Alexandria database | PBE | relaxed
data_ZrZn2Ni
_symmetry_space_group_name_H-M 'P 1 2/m 1'
_symmetry_Int_Tables_number 10
_cell_length_a 2.774
_cell_length_b 4.267
_cell_length_c 5.416
_cell_angle_alpha 90.00
_cell_angle_beta 103.63
_cell_angle_gamma 90.00
loop_
_symmetry_equiv_pos_as_xyz
'x,y,z'
'-x,-y,-z'
'-x,y,-z'
'x,-y,z'
loop_
_atom_site_label
_atom_site_fract_x
_atom_site_fract_y
_atom_site_fract_z
_atom_site_occupancy
Zr1 0.000 0.000 0.000 1
Zn1 0.345 0.500 0.717 1
Ni1 0.500 0.000 0.500 1
# calculated formation energy: -0.64 eV per formula unit
# E: -17.51 eV/cell